Computed, not measured: a geometry-optimized Tm11Ga9Rh4 structure at the GGA-PBE level of DFT.

Output
- E_form (eV/f.u.) = -17.65
- crystal system = orthorhombic
- calculated volume (A^3/atom) = 21.1

```
data_Tm11Ga9Rh4
_space_group_name_H-M_alt 'P 1'
_space_group_IT_number 1
_cell_length_a 3.570
_cell_length_b 12.403
_cell_length_c 12.403
_cell_angle_alpha 112.61
_cell_angle_beta 90.00
_cell_angle_gamma 90.00
loop_
_space_group_symop_operation_xyz
'x,y,z'
loop_
_atom_site_label
_atom_site_type_symbol
_atom_site_fract_x
_atom_site_fract_y
_atom_site_fract_z
Tm1 Tm 0.000 0.000 0.000
Tm2 Tm 0.000 0.628 0.372
Tm3 Tm 0.000 0.693 0.693
Tm4 Tm 0.000 0.412 0.069
Tm5 Tm 0.000 0.167 0.833
Tm6 Tm 0.000 0.372 0.628
Tm7 Tm 0.000 0.588 0.931
Tm8 Tm 0.000 0.307 0.307
Tm9 Tm 0.000 0.931 0.588
Tm10 Tm 0.000 0.833 0.167
Tm11 Tm 0.000 0.069 0.412
Ga1 Ga 0.500 0.838 0.370
Ga2 Ga 0.500 0.074 0.215
Ga3 Ga 0.500 0.630 0.162
Ga4 Ga 0.500 0.785 0.926
Ga5 Ga 0.500 0.162 0.630
Ga6 Ga 0.500 0.215 0.074
Ga7 Ga 0.500 0.926 0.785
Ga8 Ga 0.500 0.500 0.500
Ga9 Ga 0.500 0.370 0.838
Rh1 Rh 0.500 0.244 0.447
Rh2 Rh 0.500 0.756 0.553
Rh3 Rh 0.500 0.553 0.756
Rh4 Rh 0.500 0.447 0.244
```

Computed, not measured: a geometry-optimized Tm5GaRh6 structure at the GGA-PBE level of DFT.

Output
- E_form (eV/f.u.) = -11.04
- crystal system = orthorhombic
- calculated volume (A^3/atom) = 18.3

```
data_Tm5GaRh6
_space_group_name_H-M_alt 'P 1'
_space_group_IT_number 1
_cell_length_a 4.679
_cell_length_b 6.710
_cell_length_c 8.104
_cell_angle_alpha 65.54
_cell_angle_beta 73.23
_cell_angle_gamma 90.00
loop_
_space_group_symop_operation_xyz
'x,y,z'
loop_
_atom_site_label
_atom_site_type_symbol
_atom_site_fract_x
_atom_site_fract_y
_atom_site_fract_z
Rh1 Rh 0.836 0.590 0.327
Rh2 Rh 0.164 0.917 0.673
Rh3 Rh 0.164 0.410 0.673
Rh4 Rh 0.836 0.083 0.327
Rh5 Rh 0.500 0.251 0.000
Rh6 Rh 0.500 0.749 0.000
Tm1 Tm 0.657 0.156 0.687
Tm2 Tm 0.670 0.670 0.660
Tm3 Tm 0.000 0.500 0.000
Tm4 Tm 0.343 0.844 0.313
Tm5 Tm 0.330 0.330 0.340
Ga1 Ga 0.000 0.000 0.000
```

Computed, not measured: a geometry-optimized Tm6GaRh5 structure at the GGA-PBE level of DFT.

Output
- E_form (eV/f.u.) = -10.63
- crystal system = monoclinic
- calculated volume (A^3/atom) = 19.7

```
data_Tm6GaRh5
_space_group_name_H-M_alt 'P 1'
_space_group_IT_number 1
_cell_length_a 4.814
_cell_length_b 8.362
_cell_length_c 8.362
_cell_angle_alpha 120.26
_cell_angle_beta 106.77
_cell_angle_gamma 106.77
loop_
_space_group_symop_operation_xyz
'x,y,z'
loop_
_atom_site_label
_atom_site_type_symbol
_atom_site_fract_x
_atom_site_fract_y
_atom_site_fract_z
Rh1 Rh 0.500 0.834 0.166
Rh2 Rh 0.500 0.166 0.834
Rh3 Rh 0.500 0.500 0.500
Rh4 Rh 0.000 0.667 0.333
Rh5 Rh 0.000 0.333 0.667
Tm1 Tm 0.747 0.916 0.577
Tm2 Tm 0.242 0.742 0.742
Tm3 Tm 0.253 0.084 0.423
Tm4 Tm 0.747 0.577 0.916
Tm5 Tm 0.758 0.258 0.258
Tm6 Tm 0.253 0.423 0.084
Ga1 Ga 0.000 0.000 0.000
```

Computed, not measured: a geometry-optimized Tm2Ga9Rh3 structure at the GGA-PBE level of DFT.

Output
- E_form (eV/f.u.) = -9.71
- crystal system = orthorhombic
- calculated volume (A^3/atom) = 16.7

```
data_Tm2Ga9Rh3
_space_group_name_H-M_alt 'P 1'
_space_group_IT_number 1
_cell_length_a 7.529
_cell_length_b 7.529
_cell_length_c 9.489
_cell_angle_alpha 90.00
_cell_angle_beta 90.00
_cell_angle_gamma 119.78
loop_
_space_group_symop_operation_xyz
'x,y,z'
loop_
_atom_site_label
_atom_site_type_symbol
_atom_site_fract_x
_atom_site_fract_y
_atom_site_fract_z
Ga1 Ga 0.667 0.667 0.067
Ga2 Ga 0.000 0.335 0.419
Ga3 Ga 0.665 0.000 0.919
Ga4 Ga 0.548 0.338 0.250
Ga5 Ga 0.000 0.665 0.919
Ga6 Ga 0.452 0.662 0.750
Ga7 Ga 0.662 0.452 0.750
Ga8 Ga 0.335 0.000 0.081
Ga9 Ga 0.000 0.665 0.581
Ga10 Ga 0.333 0.333 0.567
Ga11 Ga 0.335 0.000 0.419
Ga12 Ga 0.126 0.126 0.250
Ga13 Ga 0.000 0.335 0.081
Ga14 Ga 0.665 0.000 0.581
Ga15 Ga 0.338 0.548 0.250
Ga16 Ga 0.333 0.333 0.933
Ga17 Ga 0.667 0.667 0.433
Ga18 Ga 0.874 0.874 0.750
Tm1 Tm 0.670 0.998 0.250
Tm2 Tm 0.002 0.330 0.750
Tm3 Tm 0.998 0.670 0.250
Tm4 Tm 0.330 0.002 0.750
Rh1 Rh 0.328 0.672 0.000
Rh2 Rh 0.672 0.328 0.500
Rh3 Rh 0.000 0.000 0.000
Rh4 Rh 0.328 0.672 0.500
Rh5 Rh 0.000 0.000 0.500
Rh6 Rh 0.672 0.328 0.000
```

Computed, not measured: a geometry-optimized Tm2Ga6Rh structure at the GGA-PBE level of DFT.

Output
- E_form (eV/f.u.) = -5.14
- crystal system = monoclinic
- calculated volume (A^3/atom) = 18.4

```
data_Tm2Ga6Rh
_space_group_name_H-M_alt 'P 1'
_space_group_IT_number 1
_cell_length_a 5.810
_cell_length_b 5.873
_cell_length_c 5.873
_cell_angle_alpha 57.00
_cell_angle_beta 97.77
_cell_angle_gamma 97.77
loop_
_space_group_symop_operation_xyz
'x,y,z'
loop_
_atom_site_label
_atom_site_type_symbol
_atom_site_fract_x
_atom_site_fract_y
_atom_site_fract_z
Ga1 Ga 0.669 0.626 0.147
Ga2 Ga 0.331 0.374 0.853
Ga3 Ga 0.331 0.853 0.374
Ga4 Ga 0.710 0.160 0.160
Ga5 Ga 0.290 0.840 0.840
Ga6 Ga 0.669 0.147 0.626
Tm1 Tm 0.853 0.648 0.648
Tm2 Tm 0.147 0.352 0.352
Rh1 Rh 0.000 0.000 0.000
```

Computed, not measured: a geometry-optimized Tm2Ga3Rh structure at the GGA-PBE level of DFT.

Output
- polymorph energy (0 for the lowest one) (meV per atom) = 0
- E_form (eV/f.u.) = -4.55
- crystal system = monoclinic
- calculated volume (A^3/atom) = 19.3

```
data_Tm2Ga3Rh
_space_group_name_H-M_alt 'P 1'
_space_group_IT_number 1
_cell_length_a 4.294
_cell_length_b 5.566
_cell_length_c 5.711
_cell_angle_alpha 76.16
_cell_angle_beta 67.92
_cell_angle_gamma 67.31
loop_
_space_group_symop_operation_xyz
'x,y,z'
loop_
_atom_site_label
_atom_site_type_symbol
_atom_site_fract_x
_atom_site_fract_y
_atom_site_fract_z
Ga1 Ga 0.843 0.619 0.696
Ga2 Ga 0.833 0.226 0.108
Ga3 Ga 0.164 0.767 0.904
Tm1 Tm 0.547 0.213 0.692
Tm2 Tm 0.452 0.798 0.297
Rh1 Rh 0.160 0.378 0.302
```

Computed, not measured: a geometry-optimized TmGa3Rh4 structure at the GGA-PBE level of DFT.

Output
- E_form (eV/f.u.) = -6.41
- crystal system = trigonal
- calculated volume (A^3/atom) = 15.2

```
data_TmGa3Rh4
_space_group_name_H-M_alt 'P 1'
_space_group_IT_number 1
_cell_length_a 4.406
_cell_length_b 4.406
_cell_length_c 7.659
_cell_angle_alpha 73.28
_cell_angle_beta 73.28
_cell_angle_gamma 60.00
loop_
_space_group_symop_operation_xyz
'x,y,z'
loop_
_atom_site_label
_atom_site_type_symbol
_atom_site_fract_x
_atom_site_fract_y
_atom_site_fract_z
Rh1 Rh 0.616 0.616 0.152
Rh2 Rh 0.384 0.384 0.848
Rh3 Rh 0.870 0.870 0.390
Rh4 Rh 0.130 0.130 0.610
Tm1 Tm 0.000 0.000 0.000
Ga1 Ga 0.500 0.500 0.500
Ga2 Ga 0.250 0.250 0.249
Ga3 Ga 0.750 0.750 0.751
```

Computed, not measured: a geometry-optimized Tm3Ga2Rh2 structure at the GGA-PBE level of DFT.

Output
- E_form (eV/f.u.) = -5.98
- crystal system = orthorhombic
- calculated volume (A^3/atom) = 20.4

```
data_Tm3Ga2Rh2
_space_group_name_H-M_alt 'P 1'
_space_group_IT_number 1
_cell_length_a 5.538
_cell_length_b 7.580
_cell_length_c 13.614
_cell_angle_alpha 90.00
_cell_angle_beta 90.00
_cell_angle_gamma 90.00
loop_
_space_group_symop_operation_xyz
'x,y,z'
loop_
_atom_site_label
_atom_site_type_symbol
_atom_site_fract_x
_atom_site_fract_y
_atom_site_fract_z
Ga1 Ga 0.883 0.109 0.750
Ga2 Ga 0.661 0.750 0.000
Ga3 Ga 0.339 0.250 0.500
Ga4 Ga 0.661 0.750 0.500
Ga5 Ga 0.117 0.891 0.250
Ga6 Ga 0.883 0.391 0.250
Ga7 Ga 0.339 0.250 0.000
Ga8 Ga 0.117 0.609 0.750
Tm1 Tm 0.154 0.600 0.403
Tm2 Tm 0.154 0.900 0.597
Tm3 Tm 0.154 0.900 0.903
Tm4 Tm 0.154 0.600 0.097
Tm5 Tm 0.623 0.763 0.750
Tm6 Tm 0.846 0.100 0.097
Tm7 Tm 0.377 0.237 0.250
Tm8 Tm 0.846 0.400 0.903
Tm9 Tm 0.623 0.737 0.250
Tm10 Tm 0.846 0.400 0.597
Tm11 Tm 0.846 0.100 0.403
Tm12 Tm 0.377 0.263 0.750
Rh1 Rh 0.638 0.044 0.906
Rh2 Rh 0.362 0.544 0.906
Rh3 Rh 0.362 0.956 0.094
Rh4 Rh 0.638 0.044 0.594
Rh5 Rh 0.638 0.456 0.094
Rh6 Rh 0.638 0.456 0.406
Rh7 Rh 0.362 0.544 0.594
Rh8 Rh 0.362 0.956 0.406
```

Computed, not measured: a geometry-optimized TmGaRh structure at the GGA-PBE level of DFT.

Output
- E_form (eV/f.u.) = -2.12
- crystal system = cubic
- calculated volume (A^3/atom) = 21.1

```
data_TmGaRh
_space_group_name_H-M_alt 'P 1'
_space_group_IT_number 1
_cell_length_a 4.470
_cell_length_b 4.470
_cell_length_c 4.470
_cell_angle_alpha 60.00
_cell_angle_beta 60.00
_cell_angle_gamma 60.00
loop_
_space_group_symop_operation_xyz
'x,y,z'
loop_
_atom_site_label
_atom_site_type_symbol
_atom_site_fract_x
_atom_site_fract_y
_atom_site_fract_z
Tm1 Tm 0.000 0.000 0.000
Ga1 Ga 0.500 0.500 0.500
Rh1 Rh 0.250 0.250 0.250
```

Computed, not measured: a geometry-optimized TmGa4Rh structure at the GGA-PBE level of DFT.

Output
- E_form (eV/f.u.) = -1.33
- crystal system = tetragonal
- calculated volume (A^3/atom) = 22.4

```
data_TmGa4Rh
_space_group_name_H-M_alt 'P 1'
_space_group_IT_number 1
_cell_length_a 7.212
_cell_length_b 7.212
_cell_length_c 5.165
_cell_angle_alpha 90.00
_cell_angle_beta 90.00
_cell_angle_gamma 90.00
loop_
_space_group_symop_operation_xyz
'x,y,z'
loop_
_atom_site_label
_atom_site_type_symbol
_atom_site_fract_x
_atom_site_fract_y
_atom_site_fract_z
Rh1 Rh 0.500 0.500 0.500
Rh2 Rh 0.000 0.000 0.000
Ga1 Ga 0.000 0.668 0.948
Ga2 Ga 0.668 0.000 0.052
Ga3 Ga 0.500 0.168 0.552
Ga4 Ga 0.000 0.332 0.948
Ga5 Ga 0.500 0.832 0.552
Ga6 Ga 0.168 0.500 0.448
Ga7 Ga 0.832 0.500 0.448
Ga8 Ga 0.332 0.000 0.052
Tm1 Tm 0.000 0.000 0.500
Tm2 Tm 0.500 0.500 0.000
```

Computed, not measured: a geometry-optimized TmGa12Rh4 structure at the GGA-PBE level of DFT.

Output
- E_form (eV/f.u.) = -3.54
- crystal system = cubic
- calculated volume (A^3/atom) = 19.7

```
data_TmGa12Rh4
_space_group_name_H-M_alt 'P 1'
_space_group_IT_number 1
_cell_length_a 7.573
_cell_length_b 7.573
_cell_length_c 7.573
_cell_angle_alpha 109.47
_cell_angle_beta 109.47
_cell_angle_gamma 109.47
loop_
_space_group_symop_operation_xyz
'x,y,z'
loop_
_atom_site_label
_atom_site_type_symbol
_atom_site_fract_x
_atom_site_fract_y
_atom_site_fract_z
Rh1 Rh 0.000 0.500 0.000
Rh2 Rh 0.500 0.000 0.000
Rh3 Rh 0.000 0.000 0.500
Rh4 Rh 0.500 0.500 0.500
Ga1 Ga 0.817 0.157 0.660
Ga2 Ga 0.340 0.183 0.843
Ga3 Ga 0.660 0.817 0.157
Ga4 Ga 0.340 0.497 0.157
Ga5 Ga 0.503 0.843 0.660
Ga6 Ga 0.183 0.843 0.340
Ga7 Ga 0.843 0.340 0.183
Ga8 Ga 0.157 0.660 0.817
Ga9 Ga 0.157 0.340 0.497
Ga10 Ga 0.843 0.660 0.503
Ga11 Ga 0.497 0.157 0.340
Ga12 Ga 0.660 0.503 0.843
Tm1 Tm 0.000 0.000 0.000
```

Computed, not measured: a geometry-optimized Tm3Ga2Rh6 structure at the GGA-PBE level of DFT.

Output
- E_form (eV/f.u.) = -8.04
- crystal system = cubic
- calculated volume (A^3/atom) = 18.2

```
data_Tm3Ga2Rh6
_space_group_name_H-M_alt 'P 1'
_space_group_IT_number 1
_cell_length_a 8.042
_cell_length_b 8.042
_cell_length_c 8.042
_cell_angle_alpha 109.47
_cell_angle_beta 109.47
_cell_angle_gamma 109.47
loop_
_space_group_symop_operation_xyz
'x,y,z'
loop_
_atom_site_label
_atom_site_type_symbol
_atom_site_fract_x
_atom_site_fract_y
_atom_site_fract_z
Rh1 Rh 0.657 0.000 0.343
Rh2 Rh 0.343 0.343 0.687
Rh3 Rh 0.313 0.657 0.657
Rh4 Rh 0.343 0.000 0.657
Rh5 Rh 0.343 0.657 0.000
Rh6 Rh 0.657 0.343 0.000
Rh7 Rh 0.657 0.313 0.657
Rh8 Rh 0.000 0.343 0.657
Rh9 Rh 0.657 0.657 0.313
Rh10 Rh 0.343 0.687 0.343
Rh11 Rh 0.687 0.343 0.343
Rh12 Rh 0.000 0.657 0.343
Ga1 Ga 0.500 0.000 0.000
Ga2 Ga 0.500 0.500 0.500
Ga3 Ga 0.000 0.000 0.500
Ga4 Ga 0.000 0.500 0.000
Tm1 Tm 0.000 0.707 0.707
Tm2 Tm 0.707 0.707 0.000
Tm3 Tm 0.707 0.000 0.707
Tm4 Tm 0.000 0.293 0.293
Tm5 Tm 0.293 0.293 0.000
Tm6 Tm 0.293 0.000 0.293
```

Which D(E_F) belongs to each record? In order, 10.632; 3.261; 5.440; 9.306; 3.860; 3.340; 1.592; 16.869; 0.976; 5.014; 7.416; 16.906 states/eV per cell.